(1)
Material: TcSn3Se
Method: DFT, GGA-PBEsol
State: optimized geometry

a b c (Å): 5.301 5.301 5.301
angles (deg): 90.00 90.00 90.00
Site moments in Bohr magnetons follow the coordinates.
Sites, in units of the cell vectors:
Se 0.000 0.000 0.000  -0.04
Sn 0.000 0.500 0.000  -0.04
Sn 0.500 0.000 0.000  -0.04
Sn 0.000 0.000 0.500  -0.04
Tc 0.500 0.500 0.500  3.34

Calculated values
raw total energy	-4.299	eV per atom
space group	Pm-3m (221)
total moment	3.44	μB per formula unit



(2)
Material: Sn3Te2Se
Method: DFT, GGA-PBEsol
State: optimized geometry

a b c (Å): 4.366 4.366 10.644
angles (deg): 90.00 90.00 120.00
Sites, in units of the cell vectors:
Te 0.667 0.333 0.326
Te 0.333 0.667 0.674
Sn 0.333 0.667 0.151
Sn 0.000 0.000 0.500
Sn 0.667 0.333 0.849
Se 0.000 0.000 0.000

Calculated values
raw total energy	-4.271	eV per atom
space group	P-3m1 (164)
total moment	0.00	μB per formula unit



(3)
Material: Sn4TeSe3
Method: DFT, GGA-PBEsol
State: optimized geometry

a b c (Å): 4.210 4.468 11.514
angles (deg): 89.88 90.00 90.00
Sites, in units of the cell vectors:
Sn 0.500 0.097 0.117
Sn 0.500 0.447 0.619
Sn 0.000 0.602 0.378
Sn 0.000 0.876 0.895
Te 0.000 0.982 0.639
Se 0.500 0.015 0.353
Se 0.500 0.472 0.859
Se 0.000 0.510 0.140

Calculated values
raw total energy	-4.391	eV per atom
space group	Pm (6)
total moment	0.00	μB per formula unit



(4)
Material: YSnTeSe2
Method: DFT, GGA-PBEsol
State: optimized geometry

a b c (Å): 5.302 5.302 5.821
angles (deg): 90.00 90.00 90.00
Sites, in units of the cell vectors:
Sn 0.500 0.500 0.500
Te 0.000 0.000 0.500
Se 0.500 0.000 0.000
Se 0.000 0.500 0.000
Y 0.000 0.000 0.000

Calculated values
raw total energy	-4.872	eV per atom
space group	P4/mmm (123)
total moment	0.00	μB per formula unit



(5)
Material: TiSn3Se
Method: DFT, GGA-PBEsol
State: optimized geometry

a b c (Å): 5.236 5.236 5.236
angles (deg): 90.00 90.00 90.00
Sites, in units of the cell vectors:
Sn 0.000 0.500 0.000
Sn 0.500 0.000 0.000
Sn 0.000 0.000 0.500
Se 0.500 0.500 0.500
Ti 0.000 0.000 0.000

Calculated values
raw total energy	-4.624	eV per atom
space group	Pm-3m (221)
total moment	0.00	μB per formula unit



(6)
Material: TiTlSnSe2
Method: DFT, GGA-PBEsol
State: optimized geometry

a b c (Å): 5.178 5.327 5.327
angles (deg): 90.00 90.00 90.00
Site moments in Bohr magnetons follow the coordinates.
Sites, in units of the cell vectors:
Sn 0.500 0.500 0.500  0.04
Tl 0.000 0.000 0.000  0.02
Se 0.000 0.000 0.500  0.03
Se 0.000 0.500 0.000  0.03
Ti 0.500 0.000 0.000  1.42

Calculated values
raw total energy	-3.726	eV per atom
space group	P4/mmm (123)
total moment	2.05	μB per formula unit



- Which value of total moment does entry 6 give?
  2.05 μB per formula unit